No. 1
Compound: FeCo2Ir
Source: Alexandria via LeMat-Bulk
Functional: GGA-PBE
Structure: optimized geometry

Computed properties:
- Energy of formation: 82 meV per atom
- Raw total energy: -7.802 eV per atom
- V: 49.37 Å³/f.u.

```
data_FeCo2Ir
_chemical_formula_sum 'Fe3 Co6 Ir3'
_symmetry_space_group_name_H-M 'R -3 m'
_symmetry_Int_Tables_number 166
_symmetry_space_group_name_Hall '-R 3 2"'
_cell_length_a 2.6311
_cell_length_b 2.6311
_cell_length_c 24.7058
_cell_angle_alpha 90.00
_cell_angle_beta 90.00
_cell_angle_gamma 120.00
loop_
_atom_site_label
_atom_site_fract_x
_atom_site_fract_y
_atom_site_fract_z
Fe1 0.0000 0.0000 0.0000
Co1 0.0000 0.0000 0.2538
Ir1 0.0000 0.0000 0.5000
```

---

No. 2
Compound: FeCo2Ir
Source: Alexandria via LeMat-Bulk
Functional: GGA-PBE
Structure: optimized geometry

Computed properties:
- Energy of formation: 154 meV per atom
- Raw total energy: -7.730 eV per atom
- V: 50.44 Å³/f.u.

```
data_FeCo2Ir
_chemical_formula_sum 'Fe2 Co4 Ir2'
_symmetry_space_group_name_H-M 'C m m m'
_symmetry_Int_Tables_number 65
_symmetry_space_group_name_Hall '-C 2 2'
_cell_length_a 2.777
_cell_length_b 4.358
_cell_length_c 8.336
_cell_angle_alpha 90.00
_cell_angle_beta 90.00
_cell_angle_gamma 90.00
loop_
_atom_site_label
_atom_site_fract_x
_atom_site_fract_y
_atom_site_fract_z
Fe1 0.000 0.000 0.000
Co1 0.000 0.500 0.236
Ir1 0.000 0.000 0.500
```

---

No. 3
Compound: Fe2Co5Ir4
Source: Alexandria via LeMat-Bulk
Functional: GGA-PBE
Structure: optimized geometry

Computed properties:
- Energy of formation: 146 meV per atom
- Raw total energy: -7.845 eV per atom
- V: 141.23 Å³/f.u.

```
data_Fe2Co5Ir4
_chemical_formula_sum 'Fe4 Co10 Ir8'
_symmetry_space_group_name_H-M 'C 1 2/m 1'
_symmetry_Int_Tables_number 12
_cell_length_a 17.321
_cell_length_b 2.635
_cell_length_c 6.229
_cell_angle_alpha 90.00
_cell_angle_beta 96.60
_cell_angle_gamma 90.00
loop_
_symmetry_equiv_pos_as_xyz
'x,y,z'
'-x,-y,-z'
'-x,y,-z'
'x,-y,z'
'x+1/2,y+1/2,z'
'-x+1/2,-y+1/2,-z'
'-x+1/2,y+1/2,-z'
'x+1/2,-y+1/2,z'
loop_
_atom_site_label
_atom_site_fract_x
_atom_site_fract_y
_atom_site_fract_z
Fe1 0.087 0.000 0.190
Co1 0.000 0.000 0.500
Co2 0.189 0.500 0.980
Co3 0.228 0.000 0.322
Ir1 0.044 0.500 0.838
Ir2 0.133 0.500 0.534
```

---

No. 4
Compound: FeCo2Ir
Source: Alexandria via LeMat-Bulk
Functional: GGA-PBE
Structure: optimized geometry

Computed properties:
- Energy of formation: 50 meV per atom
- Raw total energy: -7.834 eV per atom
- V: 49.16 Å³/f.u.

```
data_FeCo2Ir
_chemical_formula_sum 'Fe1 Co2 Ir1'
_symmetry_space_group_name_H-M 'P 4/m m m'
_symmetry_Int_Tables_number 123
_symmetry_space_group_name_Hall '-P 4 2'
_cell_length_a 2.827
_cell_length_b 2.827
_cell_length_c 6.150
_cell_angle_alpha 90.00
_cell_angle_beta 90.00
_cell_angle_gamma 90.00
loop_
_atom_site_label
_atom_site_fract_x
_atom_site_fract_y
_atom_site_fract_z
Fe1 0.000 0.000 0.000
Co1 0.500 0.500 0.227
Ir1 0.000 0.000 0.500
```

---

No. 5
Compound: Fe3Co4Ir4
Source: Alexandria via LeMat-Bulk
Functional: GGA-PBE
Structure: optimized geometry

Computed properties:
- Energy of formation: 190 meV per atom
- Raw total energy: -7.924 eV per atom
- V: 140.14 Å³/f.u.

```
data_Fe3Co4Ir4
_chemical_formula_sum 'Fe6 Co8 Ir8'
_symmetry_space_group_name_H-M 'I m m m'
_symmetry_Int_Tables_number 71
_symmetry_space_group_name_Hall '-I 2 2'
_cell_length_a 2.645
_cell_length_b 6.875
_cell_length_c 15.416
_cell_angle_alpha 90.00
_cell_angle_beta 90.00
_cell_angle_gamma 90.00
loop_
_atom_site_label
_atom_site_fract_x
_atom_site_fract_y
_atom_site_fract_z
Fe1 0.000 0.000 0.000
Fe2 0.000 0.500 0.107
Co1 0.000 0.000 0.257
Co2 0.000 0.182 0.500
Ir1 0.000 0.308 0.352
```

---

No. 6
Compound: Fe2Co2Ir7
Source: Alexandria via LeMat-Bulk
Functional: GGA-PBE
Structure: optimized geometry

Computed properties:
- Energy of formation: 116 meV per atom
- Raw total energy: -8.354 eV per atom
- V: 148.66 Å³/f.u.

```
data_Fe2Co2Ir7
_chemical_formula_sum 'Fe4 Co4 Ir14'
_symmetry_space_group_name_H-M 'C 1 2/m 1'
_symmetry_Int_Tables_number 12
_cell_length_a 6.812
_cell_length_b 7.056
_cell_length_c 6.289
_cell_angle_alpha 90.00
_cell_angle_beta 100.36
_cell_angle_gamma 90.00
loop_
_symmetry_equiv_pos_as_xyz
'x,y,z'
'-x,-y,-z'
'-x,y,-z'
'x,-y,z'
'x+1/2,y+1/2,z'
'-x+1/2,-y+1/2,-z'
'-x+1/2,y+1/2,-z'
'x+1/2,-y+1/2,z'
loop_
_atom_site_label
_atom_site_fract_x
_atom_site_fract_y
_atom_site_fract_z
Fe1 0.102 0.000 0.348
Co1 0.000 0.183 0.000
Ir1 0.000 0.500 0.500
Ir2 0.171 0.500 0.929
Ir3 0.221 0.191 0.694
```

---

No. 7
Compound: Fe2Co2Ir
Source: Alexandria via LeMat-Bulk
Functional: GGA-PBE
Structure: optimized geometry

Computed properties:
- Energy of formation: 289 meV per atom
- Raw total energy: -7.711 eV per atom
- V: 56.75 Å³/f.u.

```
data_Fe2Co2Ir
_chemical_formula_sum 'Fe4 Co4 Ir2'
_symmetry_space_group_name_H-M 'P 4/m b m'
_symmetry_Int_Tables_number 127
_symmetry_space_group_name_Hall '-P 4 2ab'
_cell_length_a 6.644
_cell_length_b 6.644
_cell_length_c 2.571
_cell_angle_alpha 90.00
_cell_angle_beta 90.00
_cell_angle_gamma 90.00
loop_
_atom_site_label
_atom_site_fract_x
_atom_site_fract_y
_atom_site_fract_z
Fe1 0.175 0.325 0.000
Co1 0.122 0.622 0.500
Ir1 0.000 0.000 0.500
```

---

No. 8
Compound: Fe6CoIr
Source: Alexandria via LeMat-Bulk
Functional: GGA-PBE
Structure: optimized geometry

Computed properties:
- Energy of formation: -33 meV per atom
- Raw total energy: -8.376 eV per atom
- V: 97.96 Å³/f.u.

```
data_Fe6CoIr
_chemical_formula_sum 'Fe12 Co2 Ir2'
_symmetry_space_group_name_H-M 'C m m m'
_symmetry_Int_Tables_number 65
_symmetry_space_group_name_Hall '-C 2 2'
_cell_length_a 5.789
_cell_length_b 8.247
_cell_length_c 4.104
_cell_angle_alpha 90.00
_cell_angle_beta 90.00
_cell_angle_gamma 90.00
loop_
_atom_site_label
_atom_site_fract_x
_atom_site_fract_y
_atom_site_fract_z
Fe1 0.000 0.248 0.000
Fe2 0.239 0.500 0.000
Fe3 0.250 0.250 0.500
Co1 0.000 0.500 0.500
Ir1 0.000 0.000 0.500
```

---

No. 9
Compound: FeCo4Ir
Source: Alexandria via LeMat-Bulk
Functional: GGA-PBE
Structure: optimized geometry

Computed properties:
- Energy of formation: 69 meV per atom
- Raw total energy: -7.556 eV per atom
- V: 71.71 Å³/f.u.

```
data_FeCo4Ir
_chemical_formula_sum 'Fe4 Co16 Ir4'
_symmetry_space_group_name_H-M 'F -4 3 m'
_symmetry_Int_Tables_number 216
_symmetry_space_group_name_Hall 'F -4 2 3'
_cell_length_a 6.595
_cell_length_b 6.595
_cell_length_c 6.595
_cell_angle_alpha 90.00
_cell_angle_beta 90.00
_cell_angle_gamma 90.00
loop_
_atom_site_label
_atom_site_fract_x
_atom_site_fract_y
_atom_site_fract_z
Fe1 0.000 0.000 0.000
Co1 0.125 0.125 0.375
Ir1 0.250 0.250 0.750
```

---

No. 10
Compound: Fe6CoIr5
Source: Alexandria via LeMat-Bulk
Functional: GGA-PBE
Structure: optimized geometry

Computed properties:
- Energy of formation: -17 meV per atom
- Raw total energy: -8.532 eV per atom
- V: 153.41 Å³/f.u.

```
data_Fe6CoIr5
_chemical_formula_sum 'Fe12 Co2 Ir10'
_symmetry_space_group_name_H-M 'I m m m'
_symmetry_Int_Tables_number 71
_symmetry_space_group_name_Hall '-I 2 2'
_cell_length_a 3.744
_cell_length_b 7.279
_cell_length_c 11.257
_cell_angle_alpha 90.00
_cell_angle_beta 90.00
_cell_angle_gamma 90.00
loop_
_atom_site_label
_atom_site_fract_x
_atom_site_fract_y
_atom_site_fract_z
Fe1 0.000 0.246 0.000
Fe2 0.000 0.253 0.336
Co1 0.000 0.500 0.500
Ir1 0.000 0.000 0.161
Ir2 0.000 0.000 0.500
Ir3 0.000 0.500 0.168
```

---

No. 11
Compound: Fe3Co5Ir3
Source: Alexandria via LeMat-Bulk
Functional: GGA-PBE
Structure: optimized geometry

Computed properties:
- Energy of formation: 563 meV per atom
- Raw total energy: -7.391 eV per atom
- V: 146.59 Å³/f.u.

```
data_Fe3Co5Ir3
_chemical_formula_sum 'Fe3 Co5 Ir3'
_symmetry_space_group_name_H-M 'P -6 2 m'
_symmetry_Int_Tables_number 189
_symmetry_space_group_name_Hall 'P -6 -2'
_cell_length_a 8.1449
_cell_length_b 8.1449
_cell_length_c 2.5516
_cell_angle_alpha 90.00
_cell_angle_beta 90.00
_cell_angle_gamma 120.00
loop_
_atom_site_label
_atom_site_fract_x
_atom_site_fract_y
_atom_site_fract_z
Fe1 0.0000 0.1585 0.0000
Co1 0.0000 0.6720 0.0000
Co2 0.3333 0.6667 0.0000
Ir1 0.0000 0.4124 0.5000
```

---

No. 12
Compound: FeCo2Ir
Source: Alexandria via LeMat-Bulk
Functional: GGA-PBE
Structure: optimized geometry

Computed properties:
- Energy of formation: 16 meV per atom
- Raw total energy: -7.868 eV per atom
- V: 46.91 Å³/f.u.

```
data_FeCo2Ir
_chemical_formula_sum 'Fe2 Co4 Ir2'
_symmetry_space_group_name_H-M 'P m m n'
_symmetry_Int_Tables_number 59
_cell_length_a 4.117
_cell_length_b 5.158
_cell_length_c 4.417
_cell_angle_alpha 90.00
_cell_angle_beta 90.00
_cell_angle_gamma 90.00
loop_
_symmetry_equiv_pos_as_xyz
'x,y,z'
'-x,-y,-z'
'-x+1/2,-y+1/2,z'
'x+1/2,y+1/2,-z'
'x+1/2,-y,-z'
'-x+1/2,y,z'
'-x,y+1/2,-z'
'x,-y+1/2,z'
loop_
_atom_site_label
_atom_site_fract_x
_atom_site_fract_y
_atom_site_fract_z
Fe1 0.250 0.250 0.174
Co1 0.250 0.501 0.665
Ir1 0.250 0.750 0.170
```

---

Q: The lowest V belongs to which entry?
A: number 12

---

Please write out number 5 again, unchanged.
Compound: Fe3Co4Ir4
Source: Alexandria via LeMat-Bulk
Functional: GGA-PBE
Structure: optimized geometry

Computed properties:
- Energy of formation: 190 meV per atom
- Raw total energy: -7.924 eV per atom
- V: 140.14 Å³/f.u.

```
data_Fe3Co4Ir4
_chemical_formula_sum 'Fe6 Co8 Ir8'
_symmetry_space_group_name_H-M 'I m m m'
_symmetry_Int_Tables_number 71
_symmetry_space_group_name_Hall '-I 2 2'
_cell_length_a 2.645
_cell_length_b 6.875
_cell_length_c 15.416
_cell_angle_alpha 90.00
_cell_angle_beta 90.00
_cell_angle_gamma 90.00
loop_
_atom_site_label
_atom_site_fract_x
_atom_site_fract_y
_atom_site_fract_z
Fe1 0.000 0.000 0.000
Fe2 0.000 0.500 0.107
Co1 0.000 0.000 0.257
Co2 0.000 0.182 0.500
Ir1 0.000 0.308 0.352
```

---

Q: The lowest energy of formation belongs to which entry?
A: Fe6CoIr